Record 1
AgGe2OsF meta-GGA SCAN single point on PBEsol structure; E_form (uncorrected) = 701 meV per atom; magnetic moment = 0.00 μB/f.u.; energy = -28.292 eV/atom; symmetry = P4/mmm, No. 123
1.0
4.281 0.000 0.000
0.000 4.281 0.000
0.000 0.000 4.286
Ge Os Ag F
2 1 1 1
direct
0.000 0.500 0.000 Ge
0.500 0.000 0.000 Ge
0.500 0.500 0.500 Os
0.000 0.000 0.500 Ag
0.000 0.000 0.000 F

=====

Record 2
AgHO2F meta-GGA SCAN single point on PBEsol structure; magnetic moment = 0.07 μB/f.u.; energy = -9.862 eV/atom; symmetry = P4/mmm, No. 123
1.0
3.058 0.000 0.000
0.000 3.058 0.000
0.000 0.000 4.937
H O Ag F
1 2 1 1
direct
0.000 0.000 0.000 H
0.000 0.500 0.000 O
0.500 0.000 0.000 O
0.500 0.500 0.500 Ag
0.000 0.000 0.500 F

=====

Record 3
HfMnAgF2 meta-GGA SCAN single point on PBEsol structure; E_form (uncorrected) = -1447 meV per atom; magnetic moment = 4.32 μB/f.u.; energy = -25.322 eV/atom; symmetry = P4/mmm, No. 123
1.0
-0.234 2.473 3.128
-0.173 -3.136 2.467
5.586 0.013 0.408
Mn Hf Ag F
1 1 1 2
direct
0.000 0.000 0.500 Mn
0.000 0.000 0.000 Hf
0.500 0.500 0.500 Ag
0.000 0.500 0.000 F
0.500 0.000 0.000 F

=====

Record 4
HfAgNF2 meta-GGA SCAN single point on PBEsol structure; E_form (uncorrected) = -1878 meV per atom; magnetic moment = 0.00 μB/f.u.; energy = -23.960 eV/atom; symmetry = P4/mmm, No. 123
1.0
-1.051 1.005 -3.812
-2.279 -3.375 -0.262
-3.307 2.119 1.470
N Hf Ag F
1 1 1 2
direct
0.000 0.000 0.500 N
0.000 0.000 0.000 Hf
0.500 0.500 0.500 Ag
0.000 0.500 0.000 F
0.500 0.000 0.000 F

=====

Record 5
NbAg2HgF meta-GGA SCAN single point on PBEsol structure; E_form (uncorrected) = 714 meV per atom; magnetic moment = 3.69 μB/f.u.; energy = -32.800 eV/atom; symmetry = P4/mmm, No. 123
1.0
-1.708 -3.551 1.607
4.214 -2.636 -1.348
2.120 1.050 4.574
Nb Hg Ag F
1 1 2 1
direct
0.500 0.500 0.500 Nb
0.000 0.000 0.000 Hg
0.000 0.000 0.500 Ag
0.000 0.500 0.000 Ag
0.500 0.000 0.000 F

=====

Record 6
NiAgHgF2 meta-GGA SCAN single point on PBEsol structure; E_form (uncorrected) = -391 meV per atom; magnetic moment = 0.97 μB/f.u.; energy = -24.948 eV/atom; symmetry = P4/mmm, No. 123
1.0
4.028 0.000 0.000
0.000 4.028 0.000
0.000 0.000 5.164
Ni Hg Ag F
1 1 1 2
direct
0.000 0.000 0.500 Ni
0.500 0.500 0.500 Hg
0.000 0.000 0.000 Ag
0.000 0.500 0.000 F
0.500 0.000 0.000 F